# Sr2CoF8

A relaxed structure of Sr2CoF8 (PBE with a Hubbard U, Alexandria).

Cell lengths 4.7140, 6.3737, 6.3737 Å; angles 73.45, 72.99, 72.99 degrees
With the nearest neighbours (Å) after each atom.
Element x y z (fractional)
Sr1 0.6343 0.6616 0.6616  7 F 2.42-2.60
F1 0.2625 0.7022 0.0477  1 Co 1.93
F2 0.7375 0.2978 0.9523  1 Co 1.93
Sr2 0.3657 0.3384 0.3384  7 F 2.42-2.60
F3 0.2182 0.1041 0.1041  1 Co 1.73
F4 0.2625 0.0477 0.7022  1 Co 1.93
F5 0.1884 0.5923 0.5923  3 Sr 2.42-2.45
F6 0.7375 0.9523 0.2978  1 Co 1.93
F7 0.7818 0.8959 0.8959  1 Co 1.73
F8 0.8116 0.4077 0.4077  3 Sr 2.42-2.45
Co1 0.0000 0.0000 0.0000  6 F 1.73-1.93

Summary:
Space-group type: C2/m (12)
Electronic total energy (eV/atom): -4.99
M_tot (μB per formula unit): 3.1
D(E_F) (states/eV/atom): 0.55